# CsMn3F9

A geometry-optimized CsMn3F9 structure (GGA+U, Alexandria via LeMat-Bulk).

calculated volume = 15.71 Å³/atom
VASP energy = -5.704 eV/atom
D(E_F) = 0.115 states/eV/atom
total magnetic moment = 13.0 Bohr magnetons per cell

Cell and atoms, written as CIF:
```
data_CsMn3F9
_chemical_formula_sum 'Cs1 Mn3 F9'
_space_group_name_H-M_alt 'P 6/m m m'
_space_group_IT_number 191
_space_group_name_Hall '-P 6 2'
_cell_length_a 7.7054
_cell_length_b 7.7054
_cell_length_c 3.9710
_cell_angle_alpha 90.00
_cell_angle_beta 90.00
_cell_angle_gamma 120.00
loop_
_atom_site_label
_atom_site_fract_x
_atom_site_fract_y
_atom_site_fract_z
_atom_site_occupancy
Cs1 0.0000 0.0000 0.0000 1
Mn1 0.0000 0.5000 0.5000 1
F1 0.0000 0.5000 0.0000 1
F2 0.2055 0.4109 0.5000 1
```